Material: AgHg2Cl
Method: DFT, PBEsol
State: relaxed

Cell: 3.302 3.302 8.414 Å, 90.00 90.00 112.05°
Positions (direct):
1 Ag 0.500 0.500 0.500
2 Cl 0.500 0.500 0.000
3 Hg 0.000 0.000 0.747
4 Hg 0.000 0.000 0.253

Computed properties:
Total DFT energy (no corrections) (eV for the cell shown): -6.83
D(E_F) (states/eV/cell): 0.56

---

Material: AgHg2Cl
Method: DFT, PBEsol
State: relaxed

Cell: 5.100 6.838 6.838 Å, 82.01 68.10 68.10°
Positions (direct):
1 Hg 0.875 0.429 0.071
2 Ag 0.750 0.500 0.500
3 Ag 0.000 0.000 0.000
4 Hg 0.375 0.571 0.929
5 Hg 0.054 0.071 0.571
6 Hg 0.696 0.929 0.429
7 Cl 0.250 0.500 0.500
8 Cl 0.500 0.000 0.000

Computed properties:
Total DFT energy (no corrections) (eV for the cell shown): -13.78

---

Material: AgHgS2Cl
Method: DFT, PBEsol
State: relaxed

Cell: 4.886 4.886 5.176 Å, 90.00 90.00 90.00°
Positions (direct):
1 S 0.000 0.500 0.000
2 Ag 0.500 0.500 0.500
3 S 0.500 0.000 0.000
4 Hg 0.000 0.000 0.000
5 Cl 0.000 0.000 0.500

Computed properties:
Total DFT energy (no corrections) (eV for the cell shown): -11.47
D(E_F) (states/eV/cell): 7.82